{
  "formula": "TiBe3Al",
  "functional": "PBE",
  "state": "optimized geometry",
  "density_g_cm3": 2.0,
  "e_above_lowest_polymorph_kj_per_mol_atoms": 60.6,
  "sg": "No. 221",
  "formation_enthalpy_0k_ev_per_atom": 1.5202,
  "lattice_angstrom": [[4.371, 0.000, 0.000], [0.000, 4.371, 0.000], [0.000, 0.000, 4.371]],
  "species": ["Ti", "Be", "Be", "Be", "Al"],
  "frac_coords": [[0.000, 0.000, 0.000], [0.000, 0.000, 0.500], [0.000, 0.500, 0.000], [0.500, 0.000, 0.000], [0.500, 0.500, 0.500]]
}